The following is a PBE calculation of crystalline ScSi2Sn at its relaxed geometry, from Alexandria.

```
data_ScSi2Sn
_symmetry_space_group_name_H-M 'I -4 2 d'
_symmetry_Int_Tables_number 122
_symmetry_space_group_name_Hall 'I -4 2bw'
_cell_length_a 7.518
_cell_length_b 7.518
_cell_length_c 5.847
_cell_angle_alpha 90.00
_cell_angle_beta 90.00
_cell_angle_gamma 90.00
loop_
_atom_site_label
_atom_site_type_symbol
_atom_site_fract_x
_atom_site_fract_y
_atom_site_fract_z
_atom_site_occupancy
Sc1 Sc 0.000 0.000 0.000 1
Si1 Si 0.242 0.250 0.625 1
Sn1 Sn 0.000 0.000 0.500 1
```

Output
- Fermi-level density of states: 0.784 states/eV per atom
- E_form (uncorrected): 0.29 eV per formula unit
- Crystal system: tetragonal